(1)
## In5Ag4 (PBE)

Data for crystalline In5Ag4 at its relaxed geometry.

Computed properties:
M_tot	0.00	μB per cell
calculated volume	205	Å³/cell

POSCAR file:
```
In5Ag4
1.0
-2.7794 -1.6081 0.7873
-2.2928 -1.8745 -4.9809
4.1223 -10.6124 -0.1809
In Ag
5 4
Cartesian
-0.6636 -2.8875 -1.2985
-0.2863 -11.2075 -3.0760
1.8179 -6.9129 -0.7602
-2.7678 -7.1820 -3.6143
0.0000 0.0000 0.0000
-0.9259 -5.9007 -1.4370
1.4715 -9.8792 -1.0998
-0.0239 -8.1943 -2.9375
-2.4213 -4.2157 -3.2747
```

(2)
## In5Ag4 (PBE)

Data for crystalline In5Ag4 at its relaxed geometry.

Computed properties:
M_tot	0.00	μB per cell
calculated volume	407	Å³/cell

POSCAR file:
```
In5Ag4
1.0
-4.0757 -5.5435 5.2675
0.3567 -1.5786 -8.5128
5.3403 -3.1573 0.8093
In Ag
10 8
Cartesian
0.0720 -5.8005 1.0787
0.1969 -2.9691 -0.7910
4.1144 -2.8511 -1.9985
2.7578 -4.0646 2.2191
-2.5982 -4.2219 0.6740
-1.4932 -4.6362 3.8576
1.5494 -4.4789 -3.5148
1.4245 -7.3103 -1.6451
-1.1207 -2.9002 -3.9194
1.5826 -1.8848 -5.7051
2.6702 -1.5787 0.4046
-1.0649 -5.3856 -1.8921
0.0000 0.0000 0.0000
2.6863 -4.8939 -0.5440
1.3750 -5.9455 4.0063
-0.1104 -2.7553 2.0704
4.2355 -3.3867 -4.8868
1.4616 -1.3492 -2.8168
```

(3)
## In5Ag4 (PBE)

Data for crystalline In5Ag4 at its relaxed geometry.

Computed properties:
M_tot	0.00	μB per cell
calculated volume	199	Å³/cell

POSCAR file:
```
In5Ag4
1.0
5.1662 -3.2548 -3.5910
-3.1620 0.4513 6.3228
-5.3133 -3.4440 -3.1760
Ag In
4 5
Cartesian
-2.9337 -1.0359 1.0892
-0.0962 -4.3801 -4.4246
-5.5416 -1.9568 2.0575
-0.0509 -2.3188 -2.3424
-0.4767 -3.0640 0.7449
0.0000 0.0000 0.0000
-0.4263 -0.7661 3.0662
2.4305 -2.0374 -0.3345
-2.8323 -3.1836 -1.1892
```

On energetic grounds, (1) is preferred over the next structure by 2.1 kJ/mol of atoms.

(1)
## In3Ag5 (PBE)

Data for crystalline In3Ag5 at its relaxed geometry.

Computed properties:
M_tot	0.00	μB per cell
calculated volume	160	Å³/cell

POSCAR file:
```
In3Ag5
1.0
-0.5465 5.3170 2.8643
-0.2158 -3.2328 5.1259
4.3385 0.2594 0.3463
In Ag
3 5
Cartesian
1.8767 -1.1178 4.7739
1.6995 3.4613 3.5626
-0.3812 1.0421 3.9951
1.9741 0.6634 2.2190
-0.1079 -1.6164 2.5630
1.6021 1.6802 6.1174
-0.2733 2.6585 1.4321
0.0000 0.0000 0.0000
```

(2)
## In3Ag5 (PBE)

Data for crystalline In3Ag5 at its relaxed geometry.

Computed properties:
M_tot	0.00	μB per cell
calculated volume	329	Å³/cell

POSCAR file:
```
In3Ag5
1.0
-3.7673 -1.6401 -2.4695
3.6089 -4.3000 -2.6496
-2.3336 -7.0282 8.2276
In Ag
6 10
Cartesian
-2.9426 -5.9825 3.8092
-1.5818 -9.4687 4.0486
0.6377 -5.6641 2.7890
0.4505 -6.9858 -0.7007
-0.9103 -3.4997 -0.9401
0.0000 0.0000 0.0000
-1.1668 -3.5141 4.1138
-0.7856 -7.8860 1.7828
-1.7065 -5.0824 1.3257
1.1599 -8.5853 3.9324
1.9928 -4.6733 0.0637
0.1154 -2.7430 1.6456
0.8588 -4.9409 -2.6816
-3.3508 -8.0274 5.7901
1.8044 -2.1500 -1.3248
-0.7175 -6.6549 5.5143
```

On energetic grounds, (1) is preferred over the next structure by 1.0 kJ/mol of atoms.

(1)
## In3Ag5 (PBE)

Data for crystalline In3Ag5 at its relaxed geometry.

Computed properties:
M_tot	0.00	μB per cell
calculated volume	320	Å³/cell

POSCAR file:
```
In3Ag5
1.0
-3.7802 -3.5479 -2.9173
2.1421 -3.1120 4.5951
-7.1006 3.1113 5.4172
In Ag
6 10
Cartesian
-5.9798 -1.8928 1.5047
-2.5060 -2.1936 2.1029
-2.7590 -1.6558 5.5903
-6.2327 -1.3549 4.9921
-2.4295 -3.4484 -1.2039
0.7913 -3.2114 2.8817
-4.3190 -4.2617 0.9143
-7.3536 1.2062 5.7271
-4.5462 -3.3696 3.7794
-1.3851 -4.7547 1.3678
-4.1925 -0.1789 3.3155
-6.9082 -4.1014 5.6840
-4.4197 0.7132 6.1806
-1.8305 0.5528 1.4110
-1.6624 -4.0662 4.2842
-7.0763 0.5176 2.8108
```

(2)
## In3Ag5 (PBE)

Data for crystalline In3Ag5 at its relaxed geometry.

Computed properties:
M_tot	0.00	μB per cell
calculated volume	320	Å³/cell

POSCAR file:
```
In3Ag5
1.0
8.0479 0.2805 -0.0362
-5.9224 5.0674 -0.1737
-1.0783 -2.9994 7.6506
Ag In
10 6
Cartesian
2.0674 -0.9224 6.0011
-1.0268 3.2707 1.4397
-3.8493 3.5622 0.5469
-1.4292 0.3560 2.2363
-3.2538 2.4685 3.4190
4.2944 -0.1203 4.0219
-0.8771 -0.6619 5.0325
2.4698 1.9923 5.2045
1.9178 3.0102 2.4082
4.8898 -1.2139 6.8938
3.8692 1.0027 1.2520
0.2289 1.1146 7.1938
-0.4049 2.3296 4.1994
1.4458 0.0187 3.2412
-2.8284 1.3456 6.1888
0.8116 1.2336 0.2469
```

On energetic grounds, (2) is preferred over the next structure by 1.1 kJ/mol of atoms.

(1)
## In5Ag3 (PBE)

Data for crystalline In5Ag3 at its relaxed geometry.

Computed properties:
M_tot	0.00	μB per cell
calculated volume	182	Å³/cell

POSCAR file:
```
In5Ag3
1.0
4.3305 -4.7035 0.0000
4.3305 4.7035 0.0000
0.0000 0.0000 4.4683
Ag In
3 5
Cartesian
4.3305 2.3796 2.2342
4.3305 -2.3796 2.2342
4.3305 0.0000 0.0000
6.3173 0.0000 2.2342
2.1653 2.3518 0.0000
2.1653 -2.3518 0.0000
0.0000 0.0000 0.0000
2.3438 0.0000 2.2342
```

(2)
## In5Ag3 (PBE)

Data for crystalline In5Ag3 at its relaxed geometry.

Computed properties:
M_tot	0.00	μB per cell
calculated volume	755	Å³/cell

POSCAR file:
```
In5Ag3
1.0
7.2505 0.0000 0.0000
0.0000 7.2505 0.0000
0.0000 0.0000 14.3581
In Ag
20 12
Cartesian
3.6253 0.0000 11.2370
2.5529 4.8804 8.5516
0.0000 3.6253 10.3001
1.0723 5.9954 5.8065
6.1782 5.9954 12.9856
6.1782 1.2551 5.8065
4.8804 4.6976 5.8065
4.6976 4.8804 1.3725
0.0000 3.6253 3.1210
5.9954 6.1782 8.5516
2.5529 2.3701 1.3725
1.0723 1.2551 12.9856
4.6976 2.3701 8.5516
2.3701 4.6976 12.9856
4.8804 2.5529 12.9856
3.6253 0.0000 4.0580
1.2551 6.1782 1.3725
5.9954 1.0723 1.3725
2.3701 2.5529 5.8065
1.2551 1.0723 8.5516
6.2457 1.0048 10.7686
3.6253 0.0000 14.2442
1.0048 6.2457 10.7686
0.0000 3.6253 0.1139
2.6205 2.6205 10.7686
1.0048 1.0048 3.5895
0.0000 3.6253 7.2930
4.6301 2.6205 3.5895
6.2457 6.2457 3.5895
3.6253 0.0000 7.0651
4.6301 4.6301 10.7686
2.6205 4.6301 3.5895
```

On energetic grounds, (2) is preferred over the next structure by 0.7 kJ/mol of atoms.

(1)
## In2Ag5 (PBE)

Data for crystalline In2Ag5 at its relaxed geometry.

Computed properties:
M_tot	0.00	μB per cell
calculated volume	274	Å³/cell

POSCAR file:
```
In2Ag5
1.0
5.1169 0.0000 0.0000
0.0000 6.0655 0.5159
-2.5585 -0.5124 8.7803
Ag In
10 4
Cartesian
-0.4647 5.7516 3.0429
3.0232 -0.1985 6.2532
4.6216 1.5164 0.1290
2.0937 2.8342 6.5111
0.4331 0.8114 5.0498
-0.4330 3.8441 5.3077
2.1254 4.7416 4.2464
0.4647 2.7188 2.7850
2.9915 1.7089 3.9884
0.4953 4.5491 0.3869
2.0300 0.5782 1.4093
0.5284 4.9748 7.8868
3.0869 3.6109 1.6673
-0.5284 1.9421 7.6289
```

(2)
## In2Ag5 (PBE)

Data for crystalline In2Ag5 at its relaxed geometry.

Computed properties:
M_tot	0.00	μB per cell
calculated volume	277	Å³/cell

POSCAR file:
```
In2Ag5
1.0
5.9526 -0.0315 0.1112
-0.0208 6.6035 2.9834
0.0826 0.6579 7.3443
Ag In
10 4
Cartesian
3.0221 0.7477 2.0824
1.4903 5.1563 6.2160
4.5241 2.0737 4.2229
4.4540 3.2829 1.5773
1.5477 2.1034 4.1737
5.9806 2.6517 6.6887
4.4666 5.1265 6.2653
1.4778 3.2892 1.5174
2.9922 6.4822 8.3566
0.0338 4.5782 3.7503
5.9713 6.5088 8.5969
0.0431 0.7211 1.8421
3.0067 4.7291 3.7156
3.0077 2.5009 6.7234
```

On energetic grounds, (2) is preferred over the next structure by 1.6 kJ/mol of atoms.

(1)
## InAgIr (PBE)

Data for crystalline InAgIr at its relaxed geometry.

Computed properties:
M_tot	0.00	μB per cell
calculated volume	53	Å³/cell

POSCAR file:
```
InAgIr
1.0
4.5221 0.0000 0.0000
-2.2610 3.9162 0.0000
0.0000 0.0000 2.9993
Ag Ir In
1 1 1
Cartesian
0.0000 0.0000 0.1187
2.2610 1.3054 1.9080
0.0000 2.6108 0.9726
```

(2)
## InAgIr (PBE)

Data for crystalline InAgIr at its relaxed geometry.

Computed properties:
M_tot	0.00	μB per cell
calculated volume	53	Å³/cell

POSCAR file:
```
InAgIr
1.0
5.5754 -0.0658 0.0000
3.7499 4.1264 0.0000
-4.6626 -2.0303 2.2862
Ag In Ir
1 1 1
Cartesian
0.0227 0.0099 0.0000
3.0139 1.3124 0.0000
6.2887 2.7384 0.0000
```

(3)
## InAgIr (PBE)

Data for crystalline InAgIr at its relaxed geometry.

Computed properties:
M_tot	0.00	μB per cell
calculated volume	63	Å³/cell

POSCAR file:
```
InAgIr
1.0
4.4624 0.0000 0.0000
2.2312 3.8645 0.0000
2.2312 1.2882 3.6435
Ag Ir In
1 1 1
Cartesian
0.0000 0.0000 0.0000
6.6936 3.8645 2.7326
4.4624 2.5764 1.8218
```

On energetic grounds, (2) is preferred over the next structure by 1.3 kJ/mol of atoms.

(1)
## InAgIr (PBE)

Data for crystalline InAgIr at its relaxed geometry.

Computed properties:
M_tot	0.00	μB per cell
calculated volume	54	Å³/cell

POSCAR file:
```
InAgIr
1.0
-5.5068 3.7838 3.4133
-6.4487 1.0064 3.0982
1.0376 0.8233 2.6355
Ag In Ir
1 1 1
Cartesian
-11.9151 4.7779 6.4995
-7.6970 3.4901 5.2412
-3.2613 2.1358 3.9179
```

(2)
## InAgIr (PBE)

Data for crystalline InAgIr at its relaxed geometry.

Computed properties:
M_tot	0.00	μB per cell
calculated volume	121	Å³/cell

POSCAR file:
```
InAgIr
1.0
-3.2784 -0.3372 1.4937
0.8125 -3.3748 1.0214
4.5583 5.0861 6.7700
In Ir Ag
2 2 2
Cartesian
1.3457 0.6487 7.4825
0.7467 0.7253 1.8026
-0.7917 -1.4274 2.3227
2.8841 2.8015 6.9624
0.2163 -0.4483 4.7561
1.8761 1.8224 4.5290
```

On energetic grounds, (1) is preferred over the next structure by 2.6 kJ/mol of atoms.

(1)
## InAgIr (PBE)

Data for crystalline InAgIr at its relaxed geometry.

Computed properties:
M_tot	0.00	μB per cell
calculated volume	53	Å³/cell

POSCAR file:
```
InAgIr
1.0
2.9922 -0.0102 0.5102
0.0172 3.9811 0.0161
0.7864 1.9754 4.5785
Ag Ir In
1 1 1
Cartesian
0.7115 1.1588 1.0739
1.9686 3.1413 2.7993
3.2517 5.1236 4.3832
```

(2)
## InAgIr (PBE)

Data for crystalline InAgIr at its relaxed geometry.

Computed properties:
M_tot	0.00	μB per cell
calculated volume	63	Å³/cell

POSCAR file:
```
InAgIr
1.0
4.5007 0.0000 0.0000
0.0000 4.7036 0.0000
0.0000 0.0000 2.9833
Ir Ag In
1 1 1
Cartesian
2.2503 0.0000 0.0000
2.2503 2.3518 1.4917
0.0000 0.0000 1.4917
```

(3)
## InAgIr (PBE)

Data for crystalline InAgIr at its relaxed geometry.

Computed properties:
M_tot	0.00	μB per cell
calculated volume	111	Å³/cell

POSCAR file:
```
InAgIr
1.0
-0.7103 -2.8544 -0.7818
7.5690 -1.8951 0.0422
0.3951 1.6960 5.2967
In Ag Ir
2 2 2
Cartesian
3.3663 -1.4615 2.2771
6.9532 -3.2571 -0.3502
6.0510 -0.6176 2.6810
2.0689 -0.5180 0.0115
5.0323 -1.2600 0.0280
1.4453 0.5356 2.6553
```

On energetic grounds, (2) is preferred over the next structure by 8.3 kJ/mol of atoms.